FeTcMo2, relaxed, DFT PBE; E = -80.1 eV per cell; crystal system = monoclinic; V = 117.4 Å³ per cell; energy above the lowest structure with this stoichiometry = 0.2 kJ per mole of atoms; energy relative to the elements = 105 meV/atom; total moment = 0.645 μB/atom
1.0
5.345 0.000 0.000
0.000 8.722 0.000
-0.857 0.000 2.518
Fe Tc Mo
2 2 4
Cartesian
0.000 0.000 0.000
2.672 4.361 0.000
0.000 4.361 0.000
2.672 0.000 0.000
0.907 2.181 1.259
0.907 6.542 1.259
3.580 2.181 1.259
3.580 6.542 1.259